No. 1
The following is a GGA-PBE calculation of a geometry-optimized AlFeHg2 structure, from the Alexandria database.

Spin magnetization   0.51 μB per atom
Final energy   -12.1 eV/cell

Lattice parameters (Å, degrees): 3.050 2.879 8.598 90.00 96.42 90.00
Fractional positions:
Al 0.000 0.000 0.000
Fe 0.446 0.500 0.833
Hg 0.869 0.000 0.606
Hg 0.997 0.500 0.290

---

No. 2
The following is a GGA-PBE calculation of a geometry-optimized LiFeNi2 structure, from the Alexandria database.

Spin magnetization   0.86 μB per atom
Final energy   -21.6 eV/cell

Lattice parameters (Å, degrees): 2.469 2.469 7.695 90.00 90.00 90.00
Fractional positions:
Li 0.000 0.000 0.000
Fe 0.500 0.500 0.716
Ni 0.000 0.000 0.480
Ni 0.500 0.500 0.251

---

No. 3
The following is a GGA-PBE calculation of a geometry-optimized CePa3Tc4 structure, from the Alexandria database.

Spin magnetization   0.00 μB per atom
Final energy   -154.2 eV/cell

Lattice parameters (Å, degrees): 10.740 5.509 5.431 90.00 90.00 90.00
Fractional positions:
Ce 0.000 0.119 0.000
Ce 0.500 0.881 0.500
Pa 0.000 0.525 0.536
Pa 0.246 0.715 0.730
Pa 0.254 0.285 0.230
Pa 0.500 0.475 0.036
Pa 0.746 0.285 0.230
Pa 0.754 0.715 0.730
Tc 0.000 0.041 0.512
Tc 0.000 0.616 0.056
Tc 0.236 0.776 0.214
Tc 0.264 0.224 0.714
Tc 0.500 0.384 0.556
Tc 0.500 0.959 0.012
Tc 0.736 0.224 0.714
Tc 0.764 0.776 0.214

---

No. 4
The following is a GGA-PBE calculation of a geometry-optimized RbTlSe2 structure, from the Alexandria database.

Spin magnetization   0.00 μB per atom
Final energy   -11.9 eV/cell
Energy relative to the elements, uncorrected   -0.40 eV/atom

Lattice parameters (Å, degrees): 6.270 6.270 3.072 90.00 90.00 90.00
Fractional positions:
Rb 0.000 0.000 0.000
Tl 0.500 0.500 0.000
Se 0.000 0.500 0.500
Se 0.500 0.000 0.500

---

No. 5
The following is a GGA-PBE calculation of a geometry-optimized ScAsPt2 structure, from the Alexandria database.

Spin magnetization   0.00 μB per atom
Final energy   -25.9 eV/cell

Lattice parameters (Å, degrees): 3.547 3.547 5.678 90.00 90.00 90.00
Fractional positions:
Sc 0.000 0.000 0.000
As 0.500 0.500 0.348
Pt 0.000 0.000 0.490
Pt 0.500 0.500 0.800

---

No. 6
The following is a GGA-PBE calculation of a geometry-optimized Ag2Sn3Se4 structure, from the Alexandria database.

Spin magnetization   0.00 μB per atom
Final energy   -34.1 eV/cell
Energy relative to the elements, uncorrected   -0.28 eV/atom

Lattice parameters (Å, degrees): 7.348 7.348 9.688 126.11 126.11 34.27
Fractional positions:
Ag 0.187 0.187 0.374
Ag 0.813 0.813 0.626
Sn 0.121 0.121 0.748
Sn 0.500 0.500 0.000
Sn 0.879 0.879 0.252
Se 0.184 0.184 0.088
Se 0.436 0.436 0.638
Se 0.564 0.564 0.362
Se 0.816 0.816 0.912

---

No. 7
The following is a GGA-PBE calculation of a geometry-optimized AgCl4 structure, from the Alexandria database.

Spin magnetization   0.00 μB per atom
Final energy   -20.0 eV/cell
Energy relative to the elements, uncorrected   0.05 eV/atom

Lattice parameters (Å, degrees): 10.853 10.853 2.534 90.00 90.00 90.00
Fractional positions:
Ag 0.000 0.000 0.000
Ag 0.500 0.500 0.500
Cl 0.051 0.233 0.500
Cl 0.233 0.949 0.500
Cl 0.267 0.551 0.000
Cl 0.449 0.267 0.000
Cl 0.551 0.733 0.000
Cl 0.733 0.449 0.000
Cl 0.767 0.051 0.500
Cl 0.949 0.767 0.500

---

No. 8
The following is a GGA-PBE calculation of a geometry-optimized LiDyErCd structure, from the Alexandria database.

Spin magnetization   0.00 μB per atom
Final energy   -49.8 eV/cell

Lattice parameters (Å, degrees): 7.404 7.404 7.404 90.00 90.00 90.00
Fractional positions:
Li 0.000 0.000 0.000
Li 0.000 0.500 0.500
Li 0.500 0.000 0.500
Li 0.500 0.500 0.000
Dy 0.250 0.250 0.250
Dy 0.250 0.750 0.750
Dy 0.750 0.250 0.750
Dy 0.750 0.750 0.250
Er 0.250 0.250 0.750
Er 0.250 0.750 0.250
Er 0.750 0.250 0.250
Er 0.750 0.750 0.750
Cd 0.000 0.000 0.500
Cd 0.000 0.500 0.000
Cd 0.500 0.000 0.000
Cd 0.500 0.500 0.500

---

No. 9
The following is a GGA-PBE calculation of a geometry-optimized Zr2BeTc structure, from the Alexandria database.

Spin magnetization   0.00 μB per atom
Final energy   -56.8 eV/cell

Lattice parameters (Å, degrees): 2.848 4.755 10.542 90.00 90.00 90.00
Fractional positions:
Zr 0.000 0.000 0.237
Zr 0.000 0.000 0.763
Zr 0.500 0.500 0.263
Zr 0.500 0.500 0.737
Be 0.000 0.000 0.000
Be 0.500 0.500 0.500
Tc 0.000 0.000 0.500
Tc 0.500 0.500 0.000

---

No. 10
The following is a GGA-PBE calculation of a geometry-optimized Mg2BeRu structure, from the Alexandria database.

Spin magnetization   0.00 μB per atom
Final energy   -32.5 eV/cell

Lattice parameters (Å, degrees): 3.231 4.322 8.619 90.00 90.00 90.00
Fractional positions:
Mg 0.000 0.000 0.000
Mg 0.000 0.500 0.217
Mg 0.500 0.000 0.717
Mg 0.500 0.500 0.500
Be 0.000 0.000 0.453
Be 0.500 0.500 0.953
Ru 0.000 0.500 0.771
Ru 0.500 0.000 0.271

---

No. 11
The following is a GGA-PBE calculation of a geometry-optimized In4BiPb7 structure, from the Alexandria database.

Spin magnetization   0.00 μB per atom
Final energy   -39.4 eV/cell

Lattice parameters (Å, degrees): 7.369 7.369 11.269 118.25 118.25 48.20
Fractional positions:
In 0.060 0.060 0.261
In 0.230 0.230 0.821
In 0.770 0.770 0.179
In 0.940 0.940 0.739
Bi 0.500 0.500 0.500
Pb 0.000 0.000 0.500
Pb 0.152 0.152 0.060
Pb 0.293 0.293 0.578
Pb 0.428 0.428 0.159
Pb 0.572 0.572 0.841
Pb 0.707 0.707 0.422
Pb 0.848 0.848 0.940

---

No. 12
The following is a GGA-PBE calculation of a geometry-optimized Rb2ZnC structure, from the Alexandria database.

Spin magnetization   0.50 μB per atom
Final energy   -28.5 eV/cell

Lattice parameters (Å, degrees): 8.095 8.095 8.095 90.00 90.00 90.00
Fractional positions:
Rb 0.250 0.250 0.250
Rb 0.250 0.250 0.750
Rb 0.250 0.750 0.250
Rb 0.250 0.750 0.750
Rb 0.750 0.250 0.250
Rb 0.750 0.250 0.750
Rb 0.750 0.750 0.250
Rb 0.750 0.750 0.750
Zn 0.000 0.000 0.000
Zn 0.000 0.500 0.500
Zn 0.500 0.000 0.500
Zn 0.500 0.500 0.000
C 0.000 0.000 0.500
C 0.000 0.500 0.000
C 0.500 0.000 0.000
C 0.500 0.500 0.500